(1)
{"formula": "GaGePdAu", "functional": "PBE", "state": "optimized geometry", "lattice_angstrom": [[0.000, 3.237, 3.237], [3.237, 0.000, 3.237], [3.237, 3.237, 0.000]], "species": ["Ga", "Ge", "Pd", "Au"], "fractional_positions": [[0.000, 0.000, 0.000], [0.500, 0.500, 0.500], [0.250, 0.250, 0.250], [0.750, 0.750, 0.750]], "formation_enthalpy_0k_ev_per_atom": -0.127}

***

(2)
{"formula": "CePrDy4Ho2", "functional": "PBE", "state": "optimized geometry", "lattice_angstrom": [[5.034, 0.000, 0.000], [0.000, 5.049, 0.000], [0.000, 0.000, 10.029]], "species": ["Ce", "Pr", "Dy", "Dy", "Dy", "Dy", "Ho", "Ho"], "fractional_positions": [[0.000, 0.000, 0.000], [0.500, 0.500, 0.500], [0.000, 0.500, 0.246], [0.000, 0.500, 0.754], [0.500, 0.000, 0.246], [0.500, 0.000, 0.754], [0.000, 0.000, 0.500], [0.500, 0.500, 0.000]], "formation_enthalpy_0k_ev_per_atom": 0.049}

***

(3)
{"formula": "Pa4Ge3H2", "functional": "PBE", "state": "optimized geometry", "lattice_angstrom": [[5.675, -5.026, 0.000], [5.675, 5.026, 0.000], [-1.361, 0.000, 6.022]], "species": ["Pa", "Pa", "Pa", "Pa", "Pa", "Pa", "Pa", "Pa", "Ge", "Ge", "Ge", "Ge", "Ge", "Ge", "H", "H", "H", "H"], "fractional_positions": [[0.021, 0.743, 0.974], [0.257, 0.979, 0.526], [0.318, 0.408, 0.352], [0.408, 0.318, 0.852], [0.592, 0.682, 0.148], [0.682, 0.592, 0.648], [0.743, 0.021, 0.474], [0.979, 0.257, 0.026], [0.013, 0.309, 0.572], [0.309, 0.013, 0.072], [0.324, 0.676, 0.750], [0.676, 0.324, 0.250], [0.691, 0.987, 0.928], [0.987, 0.691, 0.428], [0.167, 0.464, 0.021], [0.464, 0.167, 0.521], [0.536, 0.833, 0.479], [0.833, 0.536, 0.979]], "de_polymorph_mev_per_atom": 115.8}

***

(4)
{"formula": "SbI4Br", "functional": "PBE", "state": "optimized geometry", "lattice_angstrom": [[8.070, -4.527, 0.000], [8.070, 4.527, 0.000], [-2.690, 0.000, 7.935]], "species": ["Sb", "Sb", "I", "I", "I", "I", "I", "I", "I", "I", "Br", "Br"], "fractional_positions": [[0.062, 0.062, 0.309], [0.938, 0.938, 0.691], [0.117, 0.690, 0.961], [0.227, 0.227, 0.534], [0.241, 0.759, 0.500], [0.310, 0.883, 0.039], [0.690, 0.117, 0.961], [0.759, 0.241, 0.500], [0.773, 0.773, 0.466], [0.883, 0.310, 0.039], [0.254, 0.254, 0.076], [0.746, 0.746, 0.924]], "dft_energy_ev_per_atom": -2.097}

***

(5)
{"formula": "KTeOsI2", "functional": "PBE", "state": "optimized geometry", "lattice_angstrom": [[5.865, 0.000, 0.000], [0.000, 5.865, 0.000], [0.000, 0.000, 4.991]], "species": ["K", "Te", "Os", "I", "I"], "fractional_positions": [[0.000, 0.000, 0.000], [0.500, 0.500, 0.000], [0.500, 0.500, 0.500], [0.000, 0.500, 0.500], [0.500, 0.000, 0.500]], "de_polymorph_mev_per_atom": 0.0}

***

(6)
{"formula": "Zn8InAg4", "functional": "PBE", "state": "optimized geometry", "lattice_angstrom": [[2.852, 0.000, 0.000], [0.000, 4.497, 0.000], [0.000, 0.000, 17.313]], "species": ["Zn", "Zn", "Zn", "Zn", "Zn", "Zn", "Zn", "Zn", "In", "Ag", "Ag", "Ag", "Ag"], "fractional_positions": [[0.000, 0.000, 0.000], [0.000, 0.000, 0.276], [0.000, 0.500, 0.191], [0.000, 0.500, 0.613], [0.500, 0.000, 0.580], [0.500, 0.000, 0.860], [0.500, 0.500, 0.046], [0.500, 0.500, 0.763], [0.000, 0.000, 0.436], [0.000, 0.000, 0.719], [0.000, 0.500, 0.904], [0.500, 0.000, 0.139], [0.500, 0.500, 0.339]], "formation_enthalpy_0k_ev_per_atom": 0.018}

***

(7)
{"formula": "Y2ScNi9", "functional": "PBE", "state": "optimized geometry", "lattice_angstrom": [[2.457, 1.419, 8.120], [-2.457, 1.419, 8.120], [0.000, -2.837, 8.120]], "species": ["Y", "Y", "Sc", "Ni", "Ni", "Ni", "Ni", "Ni", "Ni", "Ni", "Ni", "Ni"], "fractional_positions": [[0.137, 0.137, 0.137], [0.863, 0.863, 0.863], [0.000, 0.000, 0.000], [0.080, 0.581, 0.581], [0.333, 0.333, 0.333], [0.419, 0.419, 0.920], [0.419, 0.920, 0.419], [0.500, 0.500, 0.500], [0.581, 0.080, 0.581], [0.581, 0.581, 0.080], [0.667, 0.667, 0.667], [0.920, 0.419, 0.419]], "formation_enthalpy_0k_ev_per_atom": -0.374}

***

(8)
{"formula": "CdOsBr2", "functional": "PBE", "state": "optimized geometry", "lattice_angstrom": [[5.176, -1.626, 0.000], [5.176, 1.626, 0.000], [-2.829, 0.000, 6.864]], "species": ["Cd", "Os", "Br", "Br"], "fractional_positions": [[0.000, 0.000, 0.000], [0.267, 0.267, 0.000], [0.677, 0.677, 0.716], [0.832, 0.832, 0.284]], "de_polymorph_mev_per_atom": 120.7}

***

(9)
{"formula": "AlTcTe2", "functional": "PBE", "state": "optimized geometry", "lattice_angstrom": [[-2.172, 2.172, 4.304], [2.172, -2.172, 4.304], [2.172, 2.172, -4.304]], "species": ["Al", "Tc", "Te", "Te"], "fractional_positions": [[0.000, 0.000, 0.000], [0.250, 0.750, 0.500], [0.500, 0.500, 0.000], [0.750, 0.250, 0.500]], "dft_energy_ev_per_atom": -4.518}

***

(10)
{"formula": "Tb5DyTm2Th", "functional": "PBE", "state": "optimized geometry", "lattice_angstrom": [[2.846, -10.752, 0.000], [2.846, 10.752, 0.000], [0.000, 0.000, 9.655]], "species": ["Tb", "Tb", "Tb", "Tb", "Tb", "Tb", "Tb", "Tb", "Tb", "Tb", "Dy", "Dy", "Tm", "Tm", "Tm", "Tm", "Th", "Th"], "fractional_positions": [[0.014, 0.986, 0.500], [0.273, 0.727, 0.804], [0.303, 0.697, 0.198], [0.399, 0.601, 0.525], [0.468, 0.532, 0.226], [0.532, 0.468, 0.726], [0.601, 0.399, 0.025], [0.697, 0.303, 0.698], [0.727, 0.273, 0.304], [0.986, 0.014, 0.000], [0.189, 0.811, 0.500], [0.811, 0.189, 0.000], [0.116, 0.884, 0.814], [0.128, 0.872, 0.195], [0.872, 0.128, 0.695], [0.884, 0.116, 0.314], [0.406, 0.594, 0.904], [0.594, 0.406, 0.404]], "formation_enthalpy_0k_ev_per_atom": 0.160}

***

Number 6 is which compound?
Zn8InAg4